A plane-wave DFT calculation with PBE was carried out for crystalline GePbSeBr2 at its relaxed geometry.

The energy above the lowest structure with this stoichiometry comes out at 2.13 eV/f.u. The value obtained for the calculated density is 4.74 g/cm³. The crystal system is tetragonal. The value obtained for the uncorrected formation energy is 0.19 eV/atom.

The space group is P4/mmm (No. 123) and the conventional cell measures 5.6733, 5.6733 and 5.6456 Å, with angles of 90.00, 90.00 and 90.00 degrees. The inequivalent atoms are Ge at (0.0000, 0.0000, 0.0000), Pb at (0.5000, 0.5000, 0.5000), Se at (0.5000, 0.5000, 0.0000) and Br at (0.0000, 0.5000, 0.5000).